1.
The following is a PBE calculation of crystalline LaDy2ScBi4 at its relaxed geometry, from the Alexandria database.

Computed properties:
**Size of the total moment**: 0.000 Bohr magnetons per cell
**Energy relative to the elements**: -0.828 eV/atom
**Space group**: No. 10
**Raw total energy**: -5.326 eV per atom

Lattice parameters (Å, degrees): 4.4989 7.7652 7.7852 109.47 90.00 90.00
Sites, in units of the cell vectors:
La 0.5000 0.5000 0.0000
Dy 0.5000 0.0000 0.5000
Dy 0.0000 0.5000 0.5000
Sc 0.0000 0.0000 0.0000
Bi 0.5000 0.2363 0.2451
Bi 0.5000 0.7637 0.7549
Bi 0.0000 0.2367 0.7457
Bi 0.0000 0.7633 0.2543



2.
The following is a PBE calculation of crystalline TcPS at its relaxed geometry, from the Alexandria database.

Computed properties:
**Size of the total moment**: 0.000 Bohr magnetons per cell
**Space group**: No. 10
**Polymorph energy (0 for the lowest one)**: 52.2 meV per atom
**ΔE_f (raw)**: -1.430 eV/f.u.
**Raw total energy**: -7.111 eV per atom

Lattice parameters (Å, degrees): 5.1459 3.0362 5.9509 90.00 91.43 90.00
Sites, in units of the cell vectors:
Tc 0.5000 0.5000 0.0000
Tc 0.0000 0.0000 0.5000
P 0.8350 0.0000 0.8744
P 0.1650 0.0000 0.1256
S 0.3176 0.5000 0.6384
S 0.6824 0.5000 0.3616



3.
The following is a PBE calculation of crystalline La4TbHo8 at its relaxed geometry, from the Alexandria database.

Computed properties:
**Size of the total moment**: 3.684 Bohr magnetons per cell
**Energy relative to the elements**: 0.544 eV/atom
**Space group**: No. 166
**Raw total energy**: -4.146 eV per atom

Lattice parameters (Å, degrees): 7.8109 7.8109 7.8109 90.16 90.16 90.16
Site moments in Bohr magnetons follow the coordinates.
Sites, in units of the cell vectors:
La 0.5000 0.0000 0.5000  0.25
La 0.0000 0.5000 0.5000  0.25
La 0.5000 0.5000 0.0000  0.25
La 0.0000 0.0000 0.0000  0.04
Tb 0.5000 0.5000 0.5000  0.11
Ho 0.2390 0.7592 0.2390  0.20
Ho 0.7610 0.7610 0.2408  0.20
Ho 0.7610 0.2408 0.7610  0.20
Ho 0.2408 0.7610 0.7610  0.20
Ho 0.7605 0.7605 0.7605  0.19
Ho 0.2395 0.2395 0.2395  0.19
Ho 0.7592 0.2390 0.2390  0.20
Ho 0.2390 0.2390 0.7592  0.20